DFT (PBE) results for a geometry-optimized TeBr2 structure.

The structure in CIF format:
```
data_TeBr2
_space_group_name_H-M_alt 'P 1'
_space_group_IT_number 1
_space_group_name_Hall 'P 1'
_cell_length_a 4.207
_cell_length_b 7.235
_cell_length_c 8.873
_cell_angle_alpha 66.94
_cell_angle_beta 83.68
_cell_angle_gamma 77.91
loop_
_atom_site_label
_atom_site_fract_x
_atom_site_fract_y
_atom_site_fract_z
_atom_site_occupancy
Te1 0.000 0.000 0.000 1
Te2 0.356 0.332 0.913 1
Br1 0.239 0.199 0.662 1
Br2 0.321 0.365 0.192 1
Br3 0.828 0.651 0.792 1
Br4 0.924 0.874 0.311 1
```

Summary:
For the total energy, the calculation gives -14.6 eV per cell.

---

DFT (PBE) results for a geometry-optimized Te2Br structure.

The structure in CIF format:
```
data_Te2Br
_space_group_name_H-M_alt 'P 1'
_space_group_IT_number 1
_space_group_name_Hall 'P 1'
_cell_length_a 4.035
_cell_length_b 4.803
_cell_length_c 6.775
_cell_angle_alpha 78.76
_cell_angle_beta 72.98
_cell_angle_gamma 65.82
loop_
_atom_site_label
_atom_site_fract_x
_atom_site_fract_y
_atom_site_fract_z
_atom_site_occupancy
Te1 0.000 0.000 0.000 1
Te2 0.260 0.247 0.247 1
Br1 0.503 0.488 0.528 1
```

Summary:
For the total energy, the calculation gives -8.2 eV per cell.

---

DFT (PBE) results for a geometry-optimized TeBr3 structure.

The structure in CIF format:
```
data_TeBr3
_space_group_name_H-M_alt 'P n m a'
_space_group_IT_number 62
_space_group_name_Hall '-P 2ac 2n'
_cell_length_a 10.648
_cell_length_b 8.138
_cell_length_c 7.760
_cell_angle_alpha 90.00
_cell_angle_beta 90.00
_cell_angle_gamma 90.00
loop_
_atom_site_label
_atom_site_fract_x
_atom_site_fract_y
_atom_site_fract_z
_atom_site_occupancy
Te1 0.231 0.250 0.205 1
Br1 0.006 0.250 0.094 1
Br2 0.209 0.005 0.464 1
```

Summary:
For the total energy, the calculation gives -36.1 eV per cell.

---

DFT (PBE) results for a geometry-optimized TeBr3 structure.

The structure in CIF format:
```
data_TeBr3
_space_group_name_H-M_alt 'P 4/m m m'
_space_group_IT_number 123
_space_group_name_Hall '-P 4 2'
_cell_length_a 3.412
_cell_length_b 3.412
_cell_length_c 9.935
_cell_angle_alpha 90.00
_cell_angle_beta 90.00
_cell_angle_gamma 90.00
loop_
_atom_site_label
_atom_site_fract_x
_atom_site_fract_y
_atom_site_fract_z
_atom_site_occupancy
Te1 0.000 0.000 0.000 1
Br1 0.000 0.000 0.500 1
Br2 0.500 0.500 0.200 1
```

Summary:
For the total energy, the calculation gives -6.8 eV per cell.